1.
NiPbIN2 after structural relaxation. Source: Alexandria, functional PBEsol.

POSCAR file:
```
NiPbIN2
1.0
4.171 0.000 0.000
0.000 4.171 0.000
0.000 0.000 6.604
I N Ni Pb
1 2 1 1
Cartesian
0.000 0.000 3.302 I
0.000 2.086 0.000 N
2.086 0.000 0.000 N
2.086 2.086 3.302 Ni
0.000 0.000 0.000 Pb
```

Calculated values
Formation energy without anion corrections = 1908 meV/atom
Symmetry = P4/mmm (123)

2.
VAg3O4 after structural relaxation. Source: Alexandria, functional PBEsol.

POSCAR file:
```
VAg3O4
1.0
4.993 0.000 0.000
2.497 4.936 0.002
2.497 0.645 9.065
V O Ag
2 8 6
Cartesian
4.734 3.863 2.268 V
5.253 1.718 6.799 V
8.744 5.266 7.197 O
6.247 3.106 6.404 O
4.220 1.392 5.463 O
4.220 2.044 8.136 O
3.740 2.475 2.663 O
1.243 0.316 1.870 O
5.766 4.190 3.604 O
5.766 3.537 0.931 O
2.497 2.791 4.533 Ag
0.000 0.000 0.000 Ag
5.232 0.824 3.674 Ag
2.735 1.967 0.860 Ag
7.252 3.614 8.207 Ag
4.755 4.758 5.393 Ag
```

Calculated values
ΔE to the lowest computed polymorph = 0.000 eV per atom
Formation energy without anion corrections = -1078 meV/atom
Symmetry = C2/c (15)

3.
KAs2Au after structural relaxation. Source: Alexandria, functional PBEsol.

POSCAR file:
```
KAs2Au
1.0
-2.486 0.394 -3.602
0.269 -4.336 -0.660
-2.447 1.387 4.521
As K Au
2 1 1
Cartesian
0.000 0.000 0.000 As
-3.021 -0.095 -0.606 As
-1.643 -2.460 0.865 K
-1.109 -1.971 -2.131 Au
```

Calculated values
Energy of formation from the pure elements = 0.23 eV/atom
Symmetry = I-4m2 (119)

4.
Hg5Pb after structural relaxation. Source: Alexandria, functional PBEsol.

POSCAR file:
```
Hg5Pb
1.0
-2.460 -1.487 -3.652
3.883 -1.421 -2.037
0.548 -5.312 4.750
Hg Pb
5 1
Cartesian
1.941 -0.710 -1.018 Hg
-0.233 -2.069 0.999 Hg
0.479 -3.518 -1.847 Hg
-1.679 -4.730 0.099 Hg
1.492 -4.701 0.909 Hg
-1.230 -0.743 -1.826 Pb
```

Calculated values
ΔE to the lowest computed polymorph = 0.003 eV per atom
Energy of formation from the pure elements = 0.01 eV/atom
Symmetry = Cmmm (65)

5.
BaNiIr2 after structural relaxation. Source: Alexandria, functional PBEsol.

POSCAR file:
```
BaNiIr2
1.0
-0.873 -2.639 -0.796
1.658 0.764 -4.351
4.582 -1.940 1.405
Ba Ir Ni
1 2 1
Cartesian
3.120 -0.588 -1.473 Ba
0.000 0.000 0.000 Ir
0.392 -0.938 -2.573 Ir
1.854 -2.290 0.304 Ni
```

Calculated values
Energy of formation from the pure elements = 0.77 eV/atom
Symmetry = Pmmm (47)

6.
MnCdSi2 after structural relaxation. Source: Alexandria, functional PBEsol.

POSCAR file:
```
MnCdSi2
1.0
-0.293 -0.067 3.824
-2.676 -2.982 -0.257
2.977 -2.687 0.181
Si Mn Cd
2 1 1
Cartesian
1.489 -1.344 0.091 Si
-1.338 -1.491 -0.129 Si
-0.147 -0.034 1.912 Mn
0.004 -2.868 1.874 Cd
```

Calculated values
Formation energy without anion corrections = 361 meV/atom
Symmetry = P4/mmm (123)